This record from Alexandria describes a relaxed structure of Tb2Pm3ThTe6. The functional is PBE.

Results
E_form (uncorrected), eV per atom: -1.304
Magnetization, μB per cell: 0.0
E_tot, eV per cell: -130.87

a b c (Å): 19.2443 4.4089 8.9325
angles (deg): 90.00 101.93 90.00
Closest atoms and distances in Å follow each position.
Space group C2/m (No. 12)
Inequivalent atoms, fractional coordinates:
Tb 0.1648 0.0000 0.3314 [4 per cell]  6 Te 3.03-3.12
Pm 0.0000 0.5000 0.5000 [2 per cell]  6 Te 3.12-3.19
Pm 0.1607 0.0000 0.8354 [4 per cell]  6 Te 3.10-3.20
Th 0.0000 0.5000 0.0000 [2 per cell]  6 Te 3.16-3.21
Te 0.0037 0.0000 0.2551 [4 per cell]  1 Tb 3.03, 3 Pm 3.10-3.12, 2 Th 3.16
Te 0.1702 0.5000 0.0922 [4 per cell]  2 Tb 3.09, 3 Pm 3.16-3.18, 1 Th 3.21
Te 0.1696 0.5000 0.5809 [4 per cell]  3 Tb 3.12, 3 Pm 3.19-3.20

This record from Alexandria describes a relaxed structure of TbPm2ThTe5. The functional is PBE.

Results
E_form (uncorrected), eV per atom: -0.649
Magnetization, μB per cell: 0.6
E_tot, eV per cell: -43.10

a b c (Å): 5.5248 5.5248 11.8607
angles (deg): 90.00 90.00 90.00
Closest atoms and distances in Å follow each position.
Space group P4/mmm (No. 123)
Inequivalent atoms, fractional coordinates:
Tb 0.0000 0.0000 0.0000 [1 per cell]  6 Te 2.76-3.00
Pm 0.5000 0.5000 0.1506 [2 per cell]  4 Te 3.29, 1 Pm 3.57
Th 0.0000 0.0000 0.5000 [1 per cell]  2 Te 2.93
Te 0.0000 0.0000 0.2531 [2 per cell]  1 Th 2.93, 1 Tb 3.00
Te 0.0000 0.5000 0.0000 [2 per cell]  2 Tb 2.76
Te 0.5000 0.5000 0.5000 [1 per cell]  4 Th 3.91, 2 Pm 4.14

This record from Alexandria describes a relaxed structure of Tb3Pm2ThTe6. The functional is PBE.

Results
E_form (uncorrected), eV per atom: -1.287
Magnetization, μB per cell: 0.0
E_tot, eV per cell: -130.20

a b c (Å): 19.3531 4.3866 8.9131
angles (deg): 90.00 104.31 90.00
Closest atoms and distances in Å follow each position.
Space group C2/m (No. 12)
Inequivalent atoms, fractional coordinates:
Tb 0.0000 0.0000 0.0000 [2 per cell]  6 Te 3.07-3.13
Tb 0.1656 0.5000 0.3331 [4 per cell]  6 Te 3.05-3.11
Pm 0.1631 0.5000 0.8264 [4 per cell]  6 Te 3.12-3.19
Th 0.0000 0.0000 0.5000 [2 per cell]  6 Te 3.18-3.19
Te 0.0029 0.5000 0.2431 [4 per cell]  3 Tb 3.05-3.07, 1 Pm 3.12, 2 Th 3.18
Te 0.1666 0.0000 0.0863 [4 per cell]  3 Tb 3.11-3.13, 3 Pm 3.18-3.19
Te 0.1699 0.0000 0.5776 [4 per cell]  3 Tb 3.08, 2 Pm 3.14, 1 Th 3.19

This record from Alexandria describes a relaxed structure of TbPmTlTe. The functional is PBE.

Results
E_form (uncorrected), eV per atom: -0.850
Magnetization, μB per cell: 0.0
E_tot, eV per cell: -54.86

a b c (Å): 4.2545 4.2545 23.7388
angles (deg): 90.00 90.00 120.00
Closest atoms and distances in Å follow each position.
Space group R3m (No. 160, hexagonal axes)
Inequivalent atoms, fractional coordinates:
Tb 0.0000 0.0000 0.0000 [3 per cell]  3 Te 3.10, 3 Tl 3.15
Pm 0.0000 0.0000 0.5028 [3 per cell]  3 Te 3.16, 3 Tl 3.20
Tl 0.0000 0.0000 0.7496 [3 per cell]  3 Tb 3.15, 3 Pm 3.20
Te 0.0000 0.0000 0.2535 [3 per cell]  3 Tb 3.10, 3 Pm 3.16

This record from Alexandria describes a relaxed structure of TbPm3Tl3Te8. The functional is PBE.

Results
E_form (uncorrected), eV per atom: -1.064
Magnetization, μB per cell: 0.0
E_tot, eV per cell: -134.14

a b c (Å): 15.5347 8.9562 9.6690
angles (deg): 90.00 122.39 90.00
Closest atoms and distances in Å follow each position.
Space group C2/m (No. 12)
Inequivalent atoms, fractional coordinates:
Tb 0.0000 0.0000 0.0000 [2 per cell]  6 Te 3.12
Pm 0.0000 0.5000 0.0000 [2 per cell]  6 Te 3.15-3.16
Pm 0.2500 0.2500 0.0000 [4 per cell]  6 Te 3.15-3.16
Tl 0.0000 0.0000 0.5000 [2 per cell]  6 Te 3.44-3.45
Tl 0.2500 0.2500 0.5000 [4 per cell]  6 Te 3.44-3.45
Te 0.0096 0.2471 0.7816 [8 per cell]  1 Tb 3.12, 2 Pm 3.15-3.16, 2 Tl 3.45
Te 0.2375 0.0000 0.2184 [4 per cell]  1 Tb 3.12, 2 Pm 3.15, 2 Tl 3.45
Te 0.2408 0.5000 0.2222 [4 per cell]  3 Pm 3.16, 3 Tl 3.44

This record from Alexandria describes a relaxed structure of TbPm2Tl3Te6. The functional is PBE.

Results
E_form (uncorrected), eV per atom: -1.069
Magnetization, μB per cell: 0.0
E_tot, eV per cell: -105.82

a b c (Å): 7.8261 13.5547 8.5869
angles (deg): 90.00 107.69 90.00
Closest atoms and distances in Å follow each position.
Space group C2/m (No. 12)
Inequivalent atoms, fractional coordinates:
Tb 0.0000 0.0000 0.0000 [2 per cell]  6 Te 3.12-3.13
Pm 0.0000 0.3335 0.0000 [4 per cell]  6 Te 3.17-3.18
Tl 0.0000 0.1681 0.5000 [4 per cell]  6 Te 3.47-3.50
Tl 0.0000 0.5000 0.5000 [2 per cell]  6 Te 3.47-3.51
Te 0.2365 0.1642 0.2170 [8 per cell]  1 Tb 3.12, 2 Pm 3.17, 2 Tl 3.47
Te 0.2445 0.5000 0.2183 [4 per cell]  1 Tb 3.13, 2 Pm 3.18, 2 Tl 3.48

This record from Alexandria describes a relaxed structure of TbPm3Tl4Te8. The functional is PBE.

Results
E_form (uncorrected), eV per atom: -1.070
Magnetization, μB per cell: 0.0
E_tot, eV per cell: -211.82

a b c (Å): 9.0498 9.0498 24.5424
angles (deg): 90.00 90.00 120.00
Closest atoms and distances in Å follow each position.
Space group R-3m (No. 166, hexagonal axes)
Inequivalent atoms, fractional coordinates:
Tb 0.0000 0.0000 0.0000 [3 per cell]  6 Te 3.13
Pm 0.0000 0.5000 0.0000 [9 per cell]  6 Te 3.17
Tl 0.0000 0.0000 0.5000 [3 per cell]  6 Te 3.52
Tl 0.0000 0.5000 0.5000 [9 per cell]  6 Te 3.48
Te 0.0000 0.0000 0.2601 [6 per cell]  3 Pm 3.17, 3 Tl 3.48
Te 0.0046 0.5023 0.7391 [18 per cell]  1 Tb 3.13, 2 Pm 3.17, 2 Tl 3.48

This record from Alexandria describes a relaxed structure of Tb3PmTl4Te8. The functional is PBE.

Results
E_form (uncorrected), eV per atom: -1.063
Magnetization, μB per cell: 0.0
E_tot, eV per cell: -210.74

a b c (Å): 8.9716 8.9716 24.5520
angles (deg): 90.00 90.00 120.00
Closest atoms and distances in Å follow each position.
Space group R-3m (No. 166, hexagonal axes)
Inequivalent atoms, fractional coordinates:
Tb 0.0000 0.5000 0.0000 [9 per cell]  6 Te 3.12
Pm 0.0000 0.0000 0.0000 [3 per cell]  6 Te 3.16
Tl 0.0000 0.0000 0.5000 [3 per cell]  6 Te 3.45
Tl 0.0000 0.5000 0.5000 [9 per cell]  6 Te 3.49
Te 0.0000 0.0000 0.2621 [6 per cell]  3 Tb 3.12, 3 Tl 3.49
Te 0.0045 0.5022 0.2613 [18 per cell]  2 Tb 3.12, 1 Pm 3.16, 3 Tl 3.45-3.49

This record from Alexandria describes a relaxed structure of Tb2PmTmTe6. The functional is PBE.

Results
E_form (uncorrected), eV per atom: -1.361
Magnetization, μB per cell: 0.0
E_tot, eV per cell: -152.82

a b c (Å): 7.7396 7.7396 21.1627
angles (deg): 90.00 90.00 120.00
Closest atoms and distances in Å follow each position.
Space group R3 (No. 146, hexagonal axes)
Inequivalent atoms, fractional coordinates:
Tb 0.0000 0.0000 0.0000 [3 per cell]  6 Te 3.07-3.12
Tb 0.0000 0.0000 0.4983 [3 per cell]  6 Te 3.09-3.12
Pm 0.0000 0.0000 0.1871 [3 per cell]  6 Te 3.13-3.19
Tm 0.0000 0.0000 0.6850 [3 per cell]  6 Te 3.05-3.07
Te 0.0063 0.6951 0.5933 [9 per cell]  2 Tb 3.07-3.12, 1 Tm 3.07, 1 Pm 3.13
Te 0.0176 0.3476 0.7579 [9 per cell]  1 Tm 3.05, 2 Tb 3.09-3.12, 1 Pm 3.19

This record from Alexandria describes a relaxed structure of Tb2Pm3TmTe6. The functional is PBE.

Results
E_form (uncorrected), eV per atom: -1.340
Magnetization, μB per cell: 0.0
E_tot, eV per cell: -125.82

a b c (Å): 19.2932 4.3683 8.8968
angles (deg): 90.00 104.29 90.00
Closest atoms and distances in Å follow each position.
Space group C2/m (No. 12)
Inequivalent atoms, fractional coordinates:
Tb 0.1686 0.0000 0.3359 [4 per cell]  6 Te 3.06-3.13
Pm 0.0000 0.5000 0.5000 [2 per cell]  6 Te 3.13-3.18
Pm 0.1695 0.0000 0.8339 [4 per cell]  6 Te 3.14-3.20
Tm 0.0000 0.5000 0.0000 [2 per cell]  6 Te 3.03-3.05
Te 0.0013 0.0000 0.2407 [4 per cell]  2 Tm 3.05, 1 Tb 3.13, 3 Pm 3.18-3.20
Te 0.1619 0.5000 0.0864 [4 per cell]  1 Tm 3.03, 2 Tb 3.09, 3 Pm 3.15-3.16
Te 0.1675 0.5000 0.5787 [4 per cell]  3 Tb 3.06-3.08, 3 Pm 3.13-3.14